TmThTlRu | PBE | relaxed

Unit cell a=3.413 b=3.413 c=8.392 alpha=90.00 beta=90.00 gamma=90.00
Element x y z (fractional)
Tm (0.500, 0.500, 0.364)
Th (0.500, 0.500, 0.776)
Tl (0.000, 0.000, 0.084)
Ru (0.000, 0.000, 0.561)

Calculated values
calculated volume = 97.8 Å³ per cell
ΔE_f = -0.40 eV/atom